(1)
DFT (PBE) results for a relaxed structure of Ce6PN5.

Size of the total moment = 0.0 μB/f.u.
Final energy = -99.620 eV per cell
Volume = 207 Å³/cell

Lattice parameters (Å, degrees): 6.3401 6.3401 6.3133 99.62 99.62 120.05
Last column: nearest neighbours and their distance in Å.
Fractional coordinates of all 12 atoms:
Ce1 0.0568 0.4130 0.7427  5 N 2.45-2.63, 1 P 2.73
Ce2 0.2355 0.2355 0.2675  5 N 2.42-2.61
Ce3 0.4130 0.0568 0.7427  5 N 2.45-2.63, 1 P 2.73
Ce4 0.5870 0.9432 0.2573  5 N 2.45-2.63, 1 P 2.73
Ce5 0.7645 0.7645 0.7325  5 N 2.42-2.61
Ce6 0.9432 0.5870 0.2573  5 N 2.45-2.63, 1 P 2.73
P1 0.5000 0.5000 0.0000  6 Ce 2.73-2.75
N1 0.0000 0.0000 0.5000  6 Ce 2.42-2.62
N2 0.1678 0.8322 0.0000  6 Ce 2.55-2.61
N3 0.3352 0.6648 0.5000  6 Ce 2.45-2.63
N4 0.6648 0.3352 0.5000  6 Ce 2.45-2.63
N5 0.8322 0.1678 0.0000  6 Ce 2.55-2.61

---

(2)
DFT (PBE) results for a relaxed structure of Ce4PN3.

Size of the total moment = 2.9 μB/f.u.
Final energy = -64.776 eV per cell
Volume = 142 Å³/cell

Lattice parameters (Å, degrees): 3.5766 3.5766 12.7951 90.00 90.00 120.00
Last column: nearest neighbours and their distance in Å.
Fractional coordinates of all 8 atoms:
Ce1 0.3333 0.6667 0.3492  3 N 2.51
Ce2 0.3333 0.6667 0.8834  6 N 2.55-2.59
Ce3 0.6667 0.3333 0.1166  6 N 2.55-2.59
Ce4 0.6667 0.3333 0.6508  3 N 2.51
P1 0.0000 0.0000 0.5000  6 Ce 2.83
N1 0.0000 0.0000 0.0000  6 Ce 2.55
N2 0.0000 0.0000 0.2382  6 Ce 2.51-2.59
N3 0.0000 0.0000 0.7618  6 Ce 2.51-2.59

---

(3)
DFT (PBE) results for a relaxed structure of Ce12P3N5.

Size of the total moment = 15.0 μB/f.u.
Final energy = -595.659 eV per cell
Volume = 1831 Å³/cell

Lattice parameters (Å, degrees): 13.3498 13.3498 13.3498 109.47 109.47 109.47
Last column: nearest neighbours and their distance in Å.
Fractional coordinates of all 80 atoms:
Ce1 0.0240 0.2058 0.1160  2 N 2.28-2.51
Ce2 0.0240 0.3182 0.9079  2 N 2.28-2.51
Ce3 0.0897 0.7058 0.6818  2 N 2.28-2.51
Ce4 0.0897 0.8840 0.4079  2 N 2.28-2.51
Ce5 0.0921 0.6160 0.4103  2 N 2.28-2.51
Ce6 0.0921 0.9760 0.6818  2 N 2.28-2.51
Ce7 0.1160 0.0240 0.2058  2 N 2.28-2.51
Ce8 0.1160 0.5921 0.9103  2 N 2.28-2.51
Ce9 0.1818 0.2058 0.5897  2 N 2.28-2.51
Ce10 0.1818 0.4760 0.5921  2 N 2.28-2.51
Ce11 0.2058 0.1160 0.0240  2 N 2.28-2.51
Ce12 0.2058 0.5897 0.1818  2 N 2.28-2.51
Ce13 0.2942 0.3182 0.9103  2 N 2.28-2.51
Ce14 0.2942 0.4760 0.3840  2 N 2.28-2.51
Ce15 0.3182 0.9079 0.0240  2 N 2.28-2.51
Ce16 0.3182 0.9103 0.2942  2 N 2.28-2.51
Ce17 0.3840 0.2942 0.4760  2 N 2.28-2.51
Ce18 0.3840 0.5897 0.9079  2 N 2.28-2.51
Ce19 0.4079 0.0897 0.8840  2 N 2.28-2.51
Ce20 0.4079 0.8182 0.5240  2 N 2.28-2.51
Ce21 0.4103 0.0921 0.6160  2 N 2.28-2.51
Ce22 0.4103 0.8182 0.7942  2 N 2.28-2.51
Ce23 0.4760 0.3840 0.2942  2 N 2.28-2.51
Ce24 0.4760 0.5921 0.1818  2 N 2.28-2.51
Ce25 0.5240 0.4079 0.8182  2 N 2.28-2.51
Ce26 0.5240 0.6160 0.7058  2 N 2.28-2.51
Ce27 0.5897 0.1818 0.2058  2 N 2.28-2.51
Ce28 0.5897 0.9079 0.3840  2 N 2.28-2.51
Ce29 0.5921 0.1818 0.4760  2 N 2.28-2.51
Ce30 0.5921 0.9103 0.1160  2 N 2.28-2.51
Ce31 0.6160 0.4103 0.0921  2 N 2.28-2.51
Ce32 0.6160 0.7058 0.5240  2 N 2.28-2.51
Ce33 0.6818 0.0897 0.7058  2 N 2.28-2.51
Ce34 0.6818 0.0921 0.9760  2 N 2.28-2.51
Ce35 0.7058 0.5240 0.6160  2 N 2.28-2.51
Ce36 0.7058 0.6818 0.0897  2 N 2.28-2.51
Ce37 0.7942 0.4103 0.8182  2 N 2.28-2.51
Ce38 0.7942 0.8840 0.9760  2 N 2.28-2.51
Ce39 0.8182 0.5240 0.4079  2 N 2.28-2.51
Ce40 0.8182 0.7942 0.4103  2 N 2.28-2.51
Ce41 0.8840 0.4079 0.0897  2 N 2.28-2.51
Ce42 0.8840 0.9760 0.7942  2 N 2.28-2.51
Ce43 0.9079 0.0240 0.3182  2 N 2.28-2.51
Ce44 0.9079 0.3840 0.5897  2 N 2.28-2.51
Ce45 0.9103 0.1160 0.5921  2 N 2.28-2.51
Ce46 0.9103 0.2942 0.3182  2 N 2.28-2.51
Ce47 0.9760 0.6818 0.0921  2 N 2.28-2.51
Ce48 0.9760 0.7942 0.8840  2 N 2.28-2.51
P1 0.1250 0.2500 0.3750  8 Ce 3.02-3.04
P2 0.1250 0.3750 0.7500  8 Ce 3.02-3.04
P3 0.2500 0.3750 0.1250  8 Ce 3.02-3.04
P4 0.2500 0.8750 0.6250  8 Ce 3.02-3.04
P5 0.3750 0.1250 0.2500  8 Ce 3.02-3.04
P6 0.3750 0.7500 0.1250  8 Ce 3.02-3.04
P7 0.6250 0.2500 0.8750  8 Ce 3.02-3.04
P8 0.6250 0.8750 0.7500  8 Ce 3.02-3.04
P9 0.7500 0.1250 0.3750  8 Ce 3.02-3.04
P10 0.7500 0.6250 0.8750  8 Ce 3.02-3.04
P11 0.8750 0.6250 0.2500  8 Ce 3.02-3.04
P12 0.8750 0.7500 0.6250  8 Ce 3.02-3.04
N1 0.0000 0.0000 0.0000  6 Ce 2.51
N2 0.0000 0.0000 0.5000  6 Ce 2.51
N3 0.0000 0.5000 0.0000  6 Ce 2.51
N4 0.0000 0.5000 0.5000  6 Ce 2.51
N5 0.1250 0.7500 0.8750  4 Ce 2.28
N6 0.1250 0.8750 0.2500  4 Ce 2.28
N7 0.2500 0.1250 0.8750  4 Ce 2.28
N8 0.2500 0.6250 0.3750  4 Ce 2.28
N9 0.3750 0.2500 0.6250  4 Ce 2.28
N10 0.3750 0.6250 0.7500  4 Ce 2.28
N11 0.5000 0.0000 0.0000  6 Ce 2.51
N12 0.5000 0.0000 0.5000  6 Ce 2.51
N13 0.5000 0.5000 0.0000  6 Ce 2.51
N14 0.5000 0.5000 0.5000  6 Ce 2.51
N15 0.6250 0.3750 0.2500  4 Ce 2.28
N16 0.6250 0.7500 0.3750  4 Ce 2.28
N17 0.7500 0.3750 0.6250  4 Ce 2.28
N18 0.7500 0.8750 0.1250  4 Ce 2.28
N19 0.8750 0.1250 0.7500  4 Ce 2.28
N20 0.8750 0.2500 0.1250  4 Ce 2.28

---

(4)
DFT (PBE) results for a relaxed structure of Ce3P3N.

Size of the total moment = 1.2 μB/f.u.
Final energy = -103.000 eV per cell
Volume = 313 Å³/cell

Lattice parameters (Å, degrees): 7.0020 7.0020 7.0315 93.80 93.80 113.96
Last column: nearest neighbours and their distance in Å.
Fractional coordinates of all 14 atoms:
Ce1 0.1203 0.1203 0.3041  2 N 2.31-2.34
Ce2 0.1360 0.4575 0.7703  1 N 2.26
Ce3 0.4575 0.1360 0.7703  1 N 2.26
Ce4 0.5425 0.8640 0.2297  1 N 2.26
Ce5 0.8640 0.5425 0.2297  1 N 2.26
Ce6 0.8797 0.8797 0.6959  2 N 2.31-2.34
P1 0.1664 0.8336 0.0000  6 Ce 2.92-2.96
P2 0.2405 0.7595 0.5000  4 Ce 2.84-2.93
P3 0.4143 0.4143 0.1072  1 P 2.11
P4 0.5857 0.5857 0.8928  1 P 2.11
P5 0.7595 0.2405 0.5000  4 Ce 2.84-2.93
P6 0.8336 0.1664 0.0000  6 Ce 2.92-2.96
N1 0.1716 0.1716 0.6398  4 Ce 2.26-2.34
N2 0.8284 0.8284 0.3602  4 Ce 2.26-2.34

---

(5)
DFT (PBE) results for a relaxed structure of Ce2PN4.

Size of the total moment = 1.0 μB/f.u.
E above lowest polymorph = 0.0000 eV per atom
Final energy = -117.585 eV per cell
Volume = 192 Å³/cell

Lattice parameters (Å, degrees): 5.3520 5.4470 6.9449 90.00 108.21 90.00
Last column: nearest neighbours and their distance in Å.
Fractional coordinates of all 14 atoms:
Ce1 0.2057 0.2500 0.0268  4 N 2.38-2.43
Ce2 0.2834 0.2500 0.5612  5 N 2.41-2.56
Ce3 0.7166 0.7500 0.4388  5 N 2.41-2.56
Ce4 0.7943 0.7500 0.9732  4 N 2.38-2.43
P1 0.2341 0.7500 0.7912  4 N 1.64-1.67
P2 0.7659 0.2500 0.2088  4 N 1.64-1.67
N1 0.0365 0.5119 0.7305  1 P 1.64
N2 0.0365 0.9881 0.7305  1 P 1.64
N3 0.3787 0.7500 0.0410  1 P 1.66
N4 0.4469 0.7500 0.6599  1 P 1.67
N5 0.5531 0.2500 0.3401  1 P 1.67
N6 0.6213 0.2500 0.9590  1 P 1.66
N7 0.9635 0.0119 0.2695  1 P 1.64
N8 0.9635 0.4881 0.2695  1 P 1.64

---

(6)
DFT (PBE) results for a relaxed structure of Ce5P4N.

Size of the total moment = 2.8 μB/f.u.
Final energy = -73.711 eV per cell
Volume = 227 Å³/cell

Lattice parameters (Å, degrees): 6.9180 6.9180 6.9180 99.86 99.86 131.11
Last column: nearest neighbours and their distance in Å.
Fractional coordinates of all 10 atoms:
Ce1 0.0000 0.0000 0.0000  1 N 2.35
Ce2 0.1813 0.3686 0.6242  1 N 2.66, 5 P 2.83-2.93
Ce3 0.3686 0.7443 0.1872  1 N 2.66, 5 P 2.83-2.93
Ce4 0.5571 0.1813 0.8128  1 N 2.66, 5 P 2.83-2.93
Ce5 0.7443 0.5571 0.3758  1 N 2.66, 5 P 2.83-2.93
P1 0.0567 0.6614 0.7915  6 Ce 2.82-2.93
P2 0.2653 0.0567 0.3953  6 Ce 2.82-2.93
P3 0.6614 0.8699 0.6047  6 Ce 2.82-2.93
P4 0.8699 0.2653 0.2085  6 Ce 2.82-2.93
N1 0.4107 0.4107 0.0000  1 Ce 2.35

---

(7)
DFT (PBE) results for a relaxed structure of CePa2PN5.

Size of the total moment = 0.6 μB/f.u.
Final energy = -164.302 eV per cell
Volume = 237 Å³/cell

Lattice parameters (Å, degrees): 6.5944 6.5944 5.4388 90.00 90.00 90.00
Last column: nearest neighbours and their distance in Å.
Fractional coordinates of all 18 atoms:
Ce1 0.0000 0.0000 0.0000  10 N 2.72-2.86
Ce2 0.5000 0.5000 0.0000  10 N 2.72-2.86
Pa1 0.1748 0.3252 0.5000  4 N 2.25-2.43
Pa2 0.3252 0.8252 0.5000  4 N 2.25-2.43
Pa3 0.6748 0.1748 0.5000  4 N 2.25-2.43
Pa4 0.8252 0.6748 0.5000  4 N 2.25-2.43
P1 0.0000 0.5000 0.0000  4 N 1.82
P2 0.5000 0.0000 0.0000  4 N 1.82
N1 0.0000 0.0000 0.5000  4 Pa 2.43, 2 Ce 2.72
N2 0.1389 0.6389 0.2361  1 P 1.82
N3 0.1389 0.6389 0.7639  1 P 1.82
N4 0.3611 0.1389 0.2361  1 P 1.82
N5 0.3611 0.1389 0.7639  1 P 1.82
N6 0.5000 0.5000 0.5000  4 Pa 2.43, 2 Ce 2.72
N7 0.6389 0.8611 0.2361  1 P 1.82
N8 0.6389 0.8611 0.7639  1 P 1.82
N9 0.8611 0.3611 0.2361  1 P 1.82
N10 0.8611 0.3611 0.7639  1 P 1.82

---

(8)
DFT (PBE) results for a relaxed structure of CePaPN2.

Size of the total moment = 0.2 μB/f.u.
Final energy = -45.011 eV per cell
Volume = 88 Å³/cell

Lattice parameters (Å, degrees): 6.5786 6.5786 6.5786 146.21 146.21 48.54
Last column: nearest neighbours and their distance in Å.
Fractional coordinates of all 5 atoms:
Ce1 0.0000 0.0000 0.0000  4 N 2.31
Pa1 0.2986 0.2986 0.0000  4 N 2.22
P1 0.6521 0.6521 0.0000  4 Pa 3.23, 4 Ce 3.26, 4 N 3.46
N1 0.3924 0.8924 0.5000  2 Pa 2.22, 2 Ce 2.31
N2 0.8924 0.3924 0.5000  2 Pa 2.22, 2 Ce 2.31

---

(9)
DFT (PBE) results for a relaxed structure of Ce2PPbN5.

Size of the total moment = 0.0 μB/f.u.
Final energy = -134.596 eV per cell
Volume = 251 Å³/cell

Lattice parameters (Å, degrees): 6.7013 6.7013 5.5918 90.00 90.00 90.00
Last column: nearest neighbours and their distance in Å.
Fractional coordinates of all 18 atoms:
Ce1 0.1845 0.3155 0.0000  8 N 2.37-2.63
Ce2 0.3155 0.8155 0.0000  8 N 2.37-2.63
Ce3 0.6845 0.1845 0.0000  8 N 2.37-2.63
Ce4 0.8155 0.6845 0.0000  8 N 2.37-2.63
P1 0.0000 0.5000 0.5000  4 N 1.73
P2 0.5000 0.0000 0.5000  4 N 1.73
Pb1 0.0000 0.0000 0.5000  10 N 2.80-2.92
Pb2 0.5000 0.5000 0.5000  10 N 2.80-2.92
N1 0.0000 0.0000 0.0000  4 Ce 2.45
N2 0.1264 0.6264 0.2776  1 P 1.73
N3 0.1264 0.6264 0.7224  1 P 1.73
N4 0.3736 0.1264 0.2776  1 P 1.73
N5 0.3736 0.1264 0.7224  1 P 1.73
N6 0.5000 0.5000 0.0000  4 Ce 2.45
N7 0.6264 0.8736 0.2776  1 P 1.73
N8 0.6264 0.8736 0.7224  1 P 1.73
N9 0.8736 0.3736 0.2776  1 P 1.73
N10 0.8736 0.3736 0.7224  1 P 1.73

---

(10)
DFT (PBE) results for a relaxed structure of Ce3PPbN.

Size of the total moment = 2.0 μB/f.u.
Final energy = -82.900 eV per cell
Volume = 332 Å³/cell

Lattice parameters (Å, degrees): 8.9793 4.1285 9.2309 90.00 104.03 90.00
Last column: nearest neighbours and their distance in Å.
Fractional coordinates of all 12 atoms:
Ce1 0.0593 0.2500 0.3362  3 P 2.83-2.87
Ce2 0.3355 0.2500 0.9713  3 N 2.27-2.35
Ce3 0.3837 0.7500 0.6490  1 N 2.23
Ce4 0.6163 0.2500 0.3510  1 N 2.23
Ce5 0.6645 0.7500 0.0287  3 N 2.27-2.35
Ce6 0.9407 0.7500 0.6638  3 P 2.83-2.87
P1 0.1598 0.2500 0.6516  6 Ce 2.83-2.99
P2 0.8402 0.7500 0.3484  6 Ce 2.83-2.99
Pb1 0.3118 0.7500 0.2642  7 Ce 3.25-3.45
Pb2 0.6882 0.2500 0.7358  7 Ce 3.25-3.45
N1 0.4163 0.7500 0.8966  4 Ce 2.23-2.35
N2 0.5837 0.2500 0.1034  4 Ce 2.23-2.35

---

(11)
DFT (PBE) results for a relaxed structure of CePmPN.

Size of the total moment = 0.0 μB/f.u.
Final energy = -30.025 eV per cell
Volume = 80 Å³/cell

Lattice parameters (Å, degrees): 6.7369 6.7369 6.7369 32.86 32.86 32.86
Last column: nearest neighbours and their distance in Å.
Fractional coordinates of all 4 atoms:
Ce1 0.0000 0.0000 0.0000  3 N 2.54, 3 P 2.82
Pm1 0.5204 0.5204 0.5204  3 N 2.68, 3 P 2.85
P1 0.7592 0.7592 0.7592  3 Ce 2.82, 3 Pm 2.85
N1 0.2669 0.2669 0.2669  3 Ce 2.54, 3 Pm 2.68

---

(12)
DFT (PBE) results for a relaxed structure of Ce4Pm2P3N2.

Size of the total moment = 2.4 μB/f.u.
Final energy = -79.374 eV per cell
Volume = 248 Å³/cell

Lattice parameters (Å, degrees): 12.3925 12.3925 12.3925 158.85 158.85 30.08
Last column: nearest neighbours and their distance in Å.
Fractional coordinates of all 11 atoms:
Ce1 0.0797 0.5797 0.5000  2 N 2.34
Ce2 0.4203 0.9203 0.5000  2 N 2.34
Ce3 0.5797 0.0797 0.5000  2 N 2.34
Ce4 0.9203 0.4203 0.5000  2 N 2.34
Pm1 0.2011 0.2011 0.0000  1 N 2.37
Pm2 0.7989 0.7989 0.0000  1 N 2.37
P1 0.3262 0.3262 0.0000  5 Pm 3.00-3.28, 4 Ce 3.20
P2 0.5000 0.5000 0.0000  8 Ce 2.97
P3 0.6738 0.6738 0.0000  5 Pm 3.00-3.28, 4 Ce 3.20
N1 0.1021 0.1021 0.0000  4 Ce 2.34, 1 Pm 2.37
N2 0.8979 0.8979 0.0000  4 Ce 2.34, 1 Pm 2.37